Compound: Y12NiPd6
Source: Alexandria via LeMat-Bulk
Functional: GGA-PBE
Structure: relaxed

```
data_Y12NiPd6
_chemical_formula_sum 'Y36 Ni3 Pd18'
_cell_length_a 12.4752
_cell_length_b 12.4752
_cell_length_c 11.8201
_cell_angle_alpha 90.00
_cell_angle_beta 90.00
_cell_angle_gamma 120.00
_space_group_name_H-M_alt 'R -3'
_space_group_IT_number 148
_space_group_name_Hall '-R 3'
loop_
_atom_site_label
_atom_site_fract_x
_atom_site_fract_y
_atom_site_fract_z
Y1 0.0251 0.8177 0.3902
Y2 0.0403 0.8425 0.8805
Ni1 0.0000 0.0000 0.0000
Pd1 0.0430 0.7741 0.6452
```

Compound: Y2Ni9Pd
Source: Alexandria via LeMat-Bulk
Functional: GGA-PBE
Structure: relaxed

```
data_Y2Ni9Pd
_chemical_formula_sum 'Y6 Ni27 Pd3'
_cell_length_a 4.9277
_cell_length_b 4.9277
_cell_length_c 23.8503
_cell_angle_alpha 90.00
_cell_angle_beta 90.00
_cell_angle_gamma 120.00
_space_group_name_H-M_alt 'R -3 m'
_space_group_IT_number 166
_space_group_name_Hall '-R 3 2"'
loop_
_atom_site_label
_atom_site_fract_x
_atom_site_fract_y
_atom_site_fract_z
Y1 0.0000 0.0000 0.1329
Ni1 0.0000 0.0000 0.3330
Ni2 0.0000 0.0000 0.5000
Ni3 0.0009 0.5004 0.9188
Pd1 0.0000 0.0000 0.0000
```

Compound: Y2Ni2Pd
Source: Alexandria via LeMat-Bulk
Functional: GGA-PBE
Structure: relaxed

```
data_Y2Ni2Pd
_chemical_formula_sum 'Y4 Ni4 Pd2'
_cell_length_a 5.176
_cell_length_b 5.176
_cell_length_c 7.479
_cell_angle_alpha 90.00
_cell_angle_beta 90.00
_cell_angle_gamma 90.00
_space_group_name_H-M_alt 'I 4/m m m'
_space_group_IT_number 139
_space_group_name_Hall '-I 4 2'
loop_
_atom_site_label
_atom_site_fract_x
_atom_site_fract_y
_atom_site_fract_z
Y1 0.000 0.500 0.250
Ni1 0.000 0.000 0.151
Pd1 0.000 0.000 0.500
```

Results
For the relative energy among the computed polymorphs, the calculation gives 105.9 kJ/mol of formula units.

Compound: YNi4Pd
Source: Alexandria via LeMat-Bulk
Functional: GGA-PBE
Structure: relaxed

```
data_YNi4Pd
_chemical_formula_sum 'Y4 Ni16 Pd4'
_cell_length_a 6.943
_cell_length_b 6.943
_cell_length_c 6.943
_cell_angle_alpha 90.00
_cell_angle_beta 90.00
_cell_angle_gamma 90.00
_space_group_name_H-M_alt 'F -4 3 m'
_space_group_IT_number 216
_space_group_name_Hall 'F -4 2 3'
loop_
_atom_site_label
_atom_site_fract_x
_atom_site_fract_y
_atom_site_fract_z
Y1 0.000 0.000 0.000
Ni1 0.124 0.124 0.624
Pd1 0.250 0.250 0.250
```

Compound: Y2Ni2Pd
Source: Alexandria via LeMat-Bulk
Functional: GGA-PBE
Structure: relaxed

```
data_Y2Ni2Pd
_chemical_formula_sum 'Y4 Ni4 Pd2'
_cell_length_a 7.150
_cell_length_b 7.150
_cell_length_c 3.678
_cell_angle_alpha 90.00
_cell_angle_beta 90.00
_cell_angle_gamma 90.00
_space_group_name_H-M_alt 'P 4/m b m'
_space_group_IT_number 127
_space_group_name_Hall '-P 4 2ab'
loop_
_atom_site_label
_atom_site_fract_x
_atom_site_fract_y
_atom_site_fract_z
Y1 0.181 0.319 0.000
Ni1 0.117 0.617 0.500
Pd1 0.000 0.000 0.500
```

Results
For the relative energy among the computed polymorphs, the calculation gives 5.1 kJ/mol of formula units.

Compound: YNiPd
Source: Alexandria via LeMat-Bulk
Functional: GGA-PBE
Structure: relaxed

```
data_YNiPd
_chemical_formula_sum 'Y4 Ni4 Pd4'
_cell_length_a 5.174
_cell_length_b 5.455
_cell_length_c 7.384
_cell_angle_alpha 90.00
_cell_angle_beta 90.00
_cell_angle_gamma 90.00
_space_group_name_H-M_alt 'I m m a'
_space_group_IT_number 74
_space_group_name_Hall '-I 2b 2'
loop_
_atom_site_label
_atom_site_fract_x
_atom_site_fract_y
_atom_site_fract_z
Y1 0.000 0.250 0.118
Ni1 0.250 0.250 0.750
Pd1 0.000 0.000 0.500
```

Compound: Y8NiPd2
Source: Alexandria via LeMat-Bulk
Functional: GGA-PBE
Structure: relaxed

```
data_Y8NiPd2
_chemical_formula_sum 'Y16 Ni2 Pd4'
_cell_length_a 17.391
_cell_length_b 5.091
_cell_length_c 6.744
_cell_angle_alpha 90.00
_cell_angle_beta 104.48
_cell_angle_gamma 90.00
_space_group_name_H-M_alt 'C 1 2/m 1'
_space_group_IT_number 12
_space_group_name_Hall '-C 2y'
loop_
_atom_site_label
_atom_site_fract_x
_atom_site_fract_y
_atom_site_fract_z
Y1 0.032 0.000 0.287
Y2 0.089 0.500 0.944
Y3 0.163 0.500 0.476
Y4 0.204 0.000 0.824
Ni1 0.000 0.500 0.500
Pd1 0.190 0.000 0.231
```

Results
For the relative energy among the computed polymorphs, the calculation gives 0.0 kJ/mol of formula units.

Compound: Y2Zn5Ni2Pd
Source: Alexandria via LeMat-Bulk
Functional: GGA-PBE
Structure: relaxed

```
data_Y2Zn5Ni2Pd
_chemical_formula_sum 'Y4 Zn10 Ni4 Pd2'
_cell_length_a 9.131
_cell_length_b 9.131
_cell_length_c 4.028
_cell_angle_alpha 90.00
_cell_angle_beta 90.00
_cell_angle_gamma 90.00
_space_group_name_H-M_alt 'P 4/m b m'
_space_group_IT_number 127
_space_group_name_Hall '-P 4 2ab'
loop_
_atom_site_label
_atom_site_fract_x
_atom_site_fract_y
_atom_site_fract_z
Y1 0.182 0.318 0.000
Zn1 0.000 0.500 0.500
Zn2 0.057 0.796 0.500
Ni1 0.111 0.611 0.000
Pd1 0.000 0.000 0.000
```

Compound: Y2Zn3Ni12Pd
Source: Alexandria via LeMat-Bulk
Functional: GGA-PBE
Structure: relaxed

```
data_Y2Zn3Ni12Pd
_chemical_formula_sum 'Y6 Zn9 Ni36 Pd3'
_cell_length_a 5.0950
_cell_length_b 5.0950
_cell_length_c 34.8635
_cell_angle_alpha 90.00
_cell_angle_beta 90.00
_cell_angle_gamma 120.00
_space_group_name_H-M_alt 'R -3 m'
_space_group_IT_number 166
_space_group_name_Hall '-R 3 2"'
loop_
_atom_site_label
_atom_site_fract_x
_atom_site_fract_y
_atom_site_fract_z
Y1 0.0000 0.0000 0.1407
Zn1 0.0000 0.5000 0.0000
Ni1 0.0041 0.5020 0.1074
Ni2 0.0181 0.5091 0.6121
Pd1 0.0000 0.0000 0.5000
```

Compound: YZnNiPd
Source: Alexandria via LeMat-Bulk
Functional: GGA-PBE
Structure: relaxed

```
data_YZnNiPd
_chemical_formula_sum 'Y4 Zn4 Ni4 Pd4'
_cell_length_a 6.499
_cell_length_b 6.499
_cell_length_c 6.499
_cell_angle_alpha 90.00
_cell_angle_beta 90.00
_cell_angle_gamma 90.00
_space_group_name_H-M_alt 'F -4 3 m'
_space_group_IT_number 216
_space_group_name_Hall 'F -4 2 3'
loop_
_atom_site_label
_atom_site_fract_x
_atom_site_fract_y
_atom_site_fract_z
Y1 0.000 0.000 0.000
Zn1 0.000 0.000 0.500
Ni1 0.250 0.250 0.750
Pd1 0.250 0.250 0.250
```

Compound: YZrNiPd
Source: Alexandria via LeMat-Bulk
Functional: GGA-PBE
Structure: relaxed

```
data_YZrNiPd
_chemical_formula_sum 'Y4 Zr4 Ni4 Pd4'
_cell_length_a 6.751
_cell_length_b 6.751
_cell_length_c 6.751
_cell_angle_alpha 90.00
_cell_angle_beta 90.00
_cell_angle_gamma 90.00
_space_group_name_H-M_alt 'F -4 3 m'
_space_group_IT_number 216
_space_group_name_Hall 'F -4 2 3'
loop_
_atom_site_label
_atom_site_fract_x
_atom_site_fract_y
_atom_site_fract_z
Y1 0.000 0.000 0.000
Zr1 0.000 0.000 0.500
Ni1 0.250 0.250 0.750
Pd1 0.250 0.250 0.250
```

Number 1: DFT formation energy -9.364 eV per formula unit, mass density 5.516 g/cm³, E_tot -6.52 eV/atom. Number 2: DFT formation energy -2.273 eV per formula unit, mass density 8.070 g/cm³, E_tot -6.04 eV/atom. Number 3: DFT formation energy -1.706 eV per formula unit, mass density 6.658 g/cm³, E_tot -6.28 eV/atom. Number 4: DFT formation energy -2.050 eV per formula unit, mass density 8.535 g/cm³, E_tot -6.14 eV/atom. Number 5: DFT formation energy -2.751 eV per formula unit, mass density 7.094 g/cm³, E_tot -6.49 eV/atom. Number 6: DFT formation energy -1.830 eV per formula unit, mass density 8.096 g/cm³, E_tot -6.42 eV/atom. Number 7: DFT formation energy -4.017 eV per formula unit, mass density 5.645 g/cm³, E_tot -6.54 eV/atom. Number 8: DFT formation energy -3.900 eV per formula unit, mass density 7.205 g/cm³, E_tot -4.00 eV/atom. Number 9: DFT formation energy 0.465 eV per formula unit, mass density 7.530 g/cm³, E_tot -5.05 eV/atom. Number 10: DFT formation energy -1.915 eV per formula unit, mass density 7.730 g/cm³, E_tot -5.16 eV/atom. Number 11: DFT formation energy -1.900 eV per formula unit, mass density 7.455 g/cm³, E_tot -6.97 eV/atom.